VASP calculation (PBE) on an optimized crystal structure of Rb2TmCl6.

abc: 8.320 8.320 4.293
angles: 90.00 90.00 120.00
Atoms (fractional coordinates):
Rb 0.333 0.667 0.000
Rb 0.667 0.333 0.000
Tm 0.000 0.000 0.500
Cl 0.000 0.225 0.000
Cl 0.000 0.665 0.500
Cl 0.225 0.000 0.000
Cl 0.335 0.335 0.500
Cl 0.665 0.000 0.500
Cl 0.775 0.775 0.000

Total magnetic moment (μB/cell): 1.11
N(E_F) (states/eV/cell): 7.7
Calculated volume (A^3/atom): 28.60
Mass density (g cm⁻³): 3.56
Symmetry: P-62m, No. 189
Raw total energy (eV/f.u.): -33.35



VASP calculation (PBE) on an optimized crystal structure of Rb3Tm2Cl9.

abc: 9.711 9.711 9.711
angles: 83.70 83.70 83.70
Atoms (fractional coordinates):
Rb 0.085 0.750 0.415
Rb 0.250 0.585 0.915
Rb 0.415 0.085 0.750
Rb 0.585 0.915 0.250
Rb 0.750 0.415 0.085
Rb 0.915 0.250 0.585
Tm 0.150 0.150 0.150
Tm 0.350 0.350 0.350
Tm 0.650 0.650 0.650
Tm 0.850 0.850 0.850
Cl 0.080 0.268 0.920
Cl 0.080 0.920 0.732
Cl 0.097 0.403 0.250
Cl 0.232 0.420 0.580
Cl 0.250 0.097 0.403
Cl 0.268 0.920 0.080
Cl 0.403 0.250 0.097
Cl 0.420 0.580 0.232
Cl 0.420 0.768 0.580
Cl 0.580 0.232 0.420
Cl 0.580 0.420 0.768
Cl 0.597 0.750 0.903
Cl 0.732 0.080 0.920
Cl 0.750 0.903 0.597
Cl 0.768 0.580 0.420
Cl 0.903 0.597 0.750
Cl 0.920 0.080 0.268
Cl 0.920 0.732 0.080

Total magnetic moment (μB/cell): 0.00
N(E_F) (states/eV/cell): 0.0
Calculated volume (A^3/atom): 32.15
Mass density (g cm⁻³): 3.37
Symmetry: R-3c, No. 167
Raw total energy (eV/f.u.): -58.99